The following is a DFT calculation (PBE-GGA) of an optimized crystal structure of SbAu2Cl.

Calculated values
- ΔE_f (raw): 0.187 eV per atom
- Relative energy among the computed polymorphs: 294 meV/atom
- Calculated volume: 21.14 Å³ per atom
- DFT total energy: -2.94 eV per atom
- Space-group type: I-4m2

Cell lengths 5.197, 5.197, 5.197 Å; angles 128.06, 128.06, 76.53 degrees
Sites, in units of the cell vectors:
Sb: 0.000 0.000 0.000
Au: 0.250 0.750 0.500
Au: 0.500 0.500 0.000
Cl: 0.750 0.250 0.500

The following is a DFT calculation (PBE-GGA) of an optimized crystal structure of SbAu2Cl.

Calculated values
- ΔE_f (raw): 0.043 eV per atom
- Relative energy among the computed polymorphs: 150 meV/atom
- Calculated volume: 27.02 Å³ per atom
- DFT total energy: -3.09 eV per atom
- Space-group type: Imm2

Cell lengths 6.380, 6.380, 6.380 Å; angles 147.30, 128.94, 61.96 degrees
Sites, in units of the cell vectors:
Sb: 0.000 0.000 0.000
Au: 0.181 0.681 0.500
Au: 0.363 0.363 0.000
Cl: 0.560 0.060 0.500

The following is a DFT calculation (PBE-GGA) of an optimized crystal structure of Sb2AuCl.

Calculated values
- ΔE_f (raw): 0.066 eV per atom
- Relative energy among the computed polymorphs: 307 meV/atom
- Calculated volume: 24.73 Å³ per atom
- DFT total energy: -3.28 eV per atom
- Space-group type: Cmm2

Cell lengths 3.437, 3.437, 9.072 Å; angles 90.00, 90.00, 112.67 degrees
Sites, in units of the cell vectors:
Sb: 0.000 0.000 0.000
Sb: 0.500 0.500 0.279
Au: 0.500 0.500 0.780
Cl: 0.000 0.000 0.581

The following is a DFT calculation (PBE-GGA) of an optimized crystal structure of SbAu3Cl.

Calculated values
- ΔE_f (raw): 0.411 eV per atom
- Relative energy among the computed polymorphs: 0 meV/atom
- Calculated volume: 28.68 Å³ per atom
- DFT total energy: -2.75 eV per atom
- Space-group type: Pm-3m

Cell lengths 5.234, 5.234, 5.234 Å; angles 90.00, 90.00, 90.00 degrees
Sites, in units of the cell vectors:
Sb: 0.000 0.000 0.000
Au: 0.000 0.000 0.500
Au: 0.000 0.500 0.000
Au: 0.500 0.000 0.000
Cl: 0.500 0.500 0.500

The following is a DFT calculation (PBE-GGA) of an optimized crystal structure of SbAu2Cl.

Calculated values
- ΔE_f (raw): 0.191 eV per atom
- Relative energy among the computed polymorphs: 298 meV/atom
- Calculated volume: 21.77 Å³ per atom
- DFT total energy: -2.94 eV per atom
- Space-group type: I4/mmm

Cell lengths 6.102, 6.102, 6.102 Å; angles 141.58, 141.58, 55.47 degrees
Sites, in units of the cell vectors:
Sb: 0.000 0.000 0.000
Au: 0.250 0.750 0.500
Au: 0.750 0.250 0.500
Cl: 0.500 0.500 0.000

The following is a DFT calculation (PBE-GGA) of an optimized crystal structure of Sb4Au2Cl3.

Calculated values
- ΔE_f (raw): -0.237 eV per atom
- Calculated volume: 27.86 Å³ per atom
- DFT total energy: -3.41 eV per atom
- Space-group type: Imma

Cell lengths 9.921, 9.921, 9.921 Å; angles 147.51, 89.56, 99.45 degrees
Sites, in units of the cell vectors:
Sb: 0.070 0.427 0.643
Sb: 0.226 0.162 0.064
Sb: 0.284 0.427 0.857
Sb: 0.402 0.838 0.564
Sb: 0.598 0.162 0.436
Sb: 0.716 0.573 0.143
Sb: 0.774 0.838 0.936
Sb: 0.930 0.573 0.357
Au: 0.189 0.622 0.567
Au: 0.445 0.378 0.067
Au: 0.555 0.622 0.933
Au: 0.811 0.378 0.433
Cl: 0.015 0.883 0.132
Cl: 0.251 0.883 0.368
Cl: 0.400 0.150 0.250
Cl: 0.600 0.850 0.750
Cl: 0.749 0.117 0.632
Cl: 0.985 0.117 0.868

The following is a DFT calculation (PBE-GGA) of an optimized crystal structure of SbAu2Cl.

Calculated values
- ΔE_f (raw): -0.107 eV per atom
- Relative energy among the computed polymorphs: 0 meV/atom
- Calculated volume: 25.45 Å³ per atom
- DFT total energy: -3.24 eV per atom
- Space-group type: Pm

Cell lengths 3.886, 3.699, 7.167 Å; angles 90.00, 98.78, 90.00 degrees
Sites, in units of the cell vectors:
Sb: 0.000 0.000 0.000
Au: 0.394 0.500 0.847
Au: 0.703 0.000 0.632
Cl: 0.680 0.500 0.375

The following is a DFT calculation (PBE-GGA) of an optimized crystal structure of SbAu2Cl.

Calculated values
- ΔE_f (raw): 0.106 eV per atom
- Relative energy among the computed polymorphs: 213 meV/atom
- Calculated volume: 21.49 Å³ per atom
- DFT total energy: -3.03 eV per atom
- Space-group type: Pmmm

Cell lengths 3.062, 4.859, 5.778 Å; angles 90.00, 90.00, 90.00 degrees
Sites, in units of the cell vectors:
Sb: 0.000 0.000 0.000
Au: 0.000 0.500 0.500
Au: 0.500 0.000 0.500
Cl: 0.500 0.500 0.000

The following is a DFT calculation (PBE-GGA) of an optimized crystal structure of Sb2AuCl.

Calculated values
- ΔE_f (raw): -0.035 eV per atom
- Relative energy among the computed polymorphs: 206 meV/atom
- Calculated volume: 23.95 Å³ per atom
- DFT total energy: -3.38 eV per atom
- Space-group type: Cmmm

Cell lengths 3.395, 3.395, 9.523 Å; angles 90.00, 90.00, 119.21 degrees
Sites, in units of the cell vectors:
Sb: 0.000 0.000 0.241
Sb: 0.000 0.000 0.759
Au: 0.500 0.500 0.000
Cl: 0.500 0.500 0.500

The following is a DFT calculation (PBE-GGA) of an optimized crystal structure of Sb2AuCl.

Calculated values
- ΔE_f (raw): 0.000 eV per atom
- Relative energy among the computed polymorphs: 241 meV/atom
- Calculated volume: 24.80 Å³ per atom
- DFT total energy: -3.34 eV per atom
- Space-group type: Immm

Cell lengths 5.820, 5.820, 5.820 Å; angles 144.32, 118.46, 73.21 degrees
Sites, in units of the cell vectors:
Sb: 0.230 0.230 0.000
Sb: 0.770 0.770 0.000
Au: 0.000 0.500 0.500
Cl: 0.500 0.000 0.500

The following is a DFT calculation (PBE-GGA) of an optimized crystal structure of ScSbAuCl2.

Calculated values
- ΔE_f (raw): 0.014 eV per atom
- Calculated volume: 31.32 Å³ per atom
- DFT total energy: -3.47 eV per atom
- Space-group type: P4/mmm

Cell lengths 5.100, 5.100, 6.022 Å; angles 90.00, 90.00, 90.00 degrees
Sites, in units of the cell vectors:
Sc: 0.000 0.000 0.000
Sb: 0.000 0.000 0.500
Au: 0.500 0.500 0.000
Cl: 0.000 0.500 0.500
Cl: 0.500 0.000 0.500

The following is a DFT calculation (PBE-GGA) of an optimized crystal structure of SbTe2AuCl.

Calculated values
- ΔE_f (raw): 0.475 eV per atom
- Relative energy among the computed polymorphs: 0 meV/atom
- Calculated volume: 32.62 Å³ per atom
- DFT total energy: -2.63 eV per atom
- Space-group type: P4/mmm

Cell lengths 5.406, 5.406, 5.579 Å; angles 90.00, 90.00, 90.00 degrees
Sites, in units of the cell vectors:
Sb: 0.000 0.000 0.000
Te: 0.000 0.500 0.500
Te: 0.500 0.000 0.500
Au: 0.000 0.000 0.500
Cl: 0.500 0.500 0.000

The following is a DFT calculation (PBE-GGA) of an optimized crystal structure of SbTe2AuCl.

Calculated values
- ΔE_f (raw): 0.968 eV per atom
- Relative energy among the computed polymorphs: 494 meV/atom
- Calculated volume: 31.37 Å³ per atom
- DFT total energy: -2.14 eV per atom
- Space-group type: P4/mmm

Cell lengths 5.525, 5.525, 5.138 Å; angles 90.00, 90.00, 90.00 degrees
Sites, in units of the cell vectors:
Sb: 0.000 0.000 0.000
Te: 0.000 0.500 0.500
Te: 0.500 0.000 0.500
Au: 0.500 0.500 0.000
Cl: 0.000 0.000 0.500

The following is a DFT calculation (PBE-GGA) of an optimized crystal structure of Tl2SbAuCl6.

Calculated values
- ΔE_f (raw): -0.800 eV per atom
- Calculated volume: 33.44 Å³ per atom
- DFT total energy: -3.12 eV per atom
- Space-group type: P1

Cell lengths 7.465, 7.681, 7.684 Å; angles 91.89, 117.49, 116.30 degrees
Sites, in units of the cell vectors:
Tl: 0.000 0.000 0.000
Tl: 0.106 0.473 0.610
Sb: 0.614 0.727 0.342
Au: 0.357 0.196 0.814
Cl: 0.120 0.999 0.476
Cl: 0.186 0.514 0.211
Cl: 0.519 0.844 0.998
Cl: 0.604 0.377 0.156
Cl: 0.659 0.021 0.547
Cl: 0.741 0.593 0.665

The following is a DFT calculation (PBE-GGA) of an optimized crystal structure of ZnSbAuCl2.

Calculated values
- ΔE_f (raw): -0.042 eV per atom
- Calculated volume: 25.15 Å³ per atom
- DFT total energy: -2.52 eV per atom
- Space-group type: P4/mmm

Cell lengths 4.540, 4.540, 6.103 Å; angles 90.00, 90.00, 90.00 degrees
Sites, in units of the cell vectors:
Zn: 0.000 0.000 0.000
Sb: 0.500 0.500 0.500
Au: 0.000 0.000 0.500
Cl: 0.000 0.500 0.000
Cl: 0.500 0.000 0.000

The following is a DFT calculation (PBE-GGA) of an optimized crystal structure of ScAuCl2.

Calculated values
- ΔE_f (raw): -1.248 eV per atom
- Relative energy among the computed polymorphs: 75 meV/atom
- Calculated volume: 26.03 Å³ per atom
- DFT total energy: -4.57 eV per atom
- Space-group type: Pm

Cell lengths 3.981, 3.488, 7.749 Å; angles 90.00, 104.64, 90.00 degrees
Sites, in units of the cell vectors:
Sc: 0.000 0.000 0.000
Au: 0.426 0.500 0.849
Cl: 0.119 0.500 0.241
Cl: 0.837 0.000 0.668

The following is a DFT calculation (PBE-GGA) of an optimized crystal structure of ScAuCl2.

Calculated values
- ΔE_f (raw): -0.998 eV per atom
- Relative energy among the computed polymorphs: 326 meV/atom
- Calculated volume: 23.46 Å³ per atom
- DFT total energy: -4.32 eV per atom
- Space-group type: P4mm

Cell lengths 3.448, 3.448, 7.895 Å; angles 90.00, 90.00, 90.00 degrees
Sites, in units of the cell vectors:
Sc: 0.000 0.000 0.000
Au: 0.500 0.500 0.180
Cl: 0.000 0.000 0.358
Cl: 0.500 0.500 0.783

The following is a DFT calculation (PBE-GGA) of an optimized crystal structure of ScAuCl2.

Calculated values
- ΔE_f (raw): -1.013 eV per atom
- Relative energy among the computed polymorphs: 311 meV/atom
- Calculated volume: 24.22 Å³ per atom
- DFT total energy: -4.34 eV per atom
- Space-group type: P4/mmm

Cell lengths 3.090, 3.090, 10.145 Å; angles 90.00, 90.00, 90.00 degrees
Sites, in units of the cell vectors:
Sc: 0.000 0.000 0.000
Au: 0.000 0.000 0.500
Cl: 0.500 0.500 0.151
Cl: 0.500 0.500 0.849

The following is a DFT calculation (PBE-GGA) of an optimized crystal structure of ScAuCl2.

Calculated values
- ΔE_f (raw): -1.324 eV per atom
- Relative energy among the computed polymorphs: 0 meV/atom
- Calculated volume: 30.56 Å³ per atom
- DFT total energy: -4.65 eV per atom
- Space-group type: Cm

Cell lengths 6.441, 6.441, 7.087 Å; angles 122.44, 122.44, 29.99 degrees
Sites, in units of the cell vectors:
Sc: 0.000 0.000 0.000
Au: 0.305 0.305 0.915
Cl: 0.521 0.521 0.754
Cl: 0.638 0.638 0.305

The following is a DFT calculation (PBE-GGA) of an optimized crystal structure of ScAuCl2.

Calculated values
- ΔE_f (raw): -0.383 eV per atom
- Relative energy among the computed polymorphs: 941 meV/atom
- Calculated volume: 26.64 Å³ per atom
- DFT total energy: -3.71 eV per atom
- Space-group type: R-3m

Cell lengths 10.665, 10.665, 10.665 Å; angles 18.49, 18.49, 18.49 degrees
Sites, in units of the cell vectors:
Sc: 0.000 0.000 0.000
Au: 0.500 0.500 0.500
Cl: 0.073 0.073 0.073
Cl: 0.927 0.927 0.927

The following is a DFT calculation (PBE-GGA) of an optimized crystal structure of ScAuCl2.

Calculated values
- ΔE_f (raw): -0.648 eV per atom
- Relative energy among the computed polymorphs: 676 meV/atom
- Calculated volume: 19.72 Å³ per atom
- DFT total energy: -3.97 eV per atom
- Space-group type: Fm-3m

Cell lengths 4.814, 4.814, 4.814 Å; angles 60.00, 60.00, 60.00 degrees
Sites, in units of the cell vectors:
Sc: 0.000 0.000 0.000
Au: 0.500 0.500 0.500
Cl: 0.250 0.250 0.250
Cl: 0.750 0.750 0.750

The following is a DFT calculation (PBE-GGA) of an optimized crystal structure of ScAuCl2.

Calculated values
- ΔE_f (raw): -0.685 eV per atom
- Relative energy among the computed polymorphs: 639 meV/atom
- Calculated volume: 19.71 Å³ per atom
- DFT total energy: -4.01 eV per atom
- Space-group type: I4/mmm

Cell lengths 5.089, 5.089, 5.089 Å; angles 128.33, 128.33, 76.09 degrees
Sites, in units of the cell vectors:
Sc: 0.000 0.000 0.000
Au: 0.500 0.500 0.000
Cl: 0.250 0.750 0.500
Cl: 0.750 0.250 0.500

The following is a DFT calculation (PBE-GGA) of an optimized crystal structure of Sc3AuCl.

Calculated values
- ΔE_f (raw): -0.532 eV per atom
- Relative energy among the computed polymorphs: 0 meV/atom
- Calculated volume: 20.85 Å³ per atom
- DFT total energy: -5.36 eV per atom
- Space-group type: Pm-3m

Cell lengths 4.707, 4.707, 4.707 Å; angles 90.00, 90.00, 90.00 degrees
Sites, in units of the cell vectors:
Sc: 0.000 0.000 0.500
Sc: 0.000 0.500 0.000
Sc: 0.500 0.000 0.000
Au: 0.500 0.500 0.500
Cl: 0.000 0.000 0.000

The following is a DFT calculation (PBE-GGA) of an optimized crystal structure of ScAuCl2.

Calculated values
- ΔE_f (raw): -0.587 eV per atom
- Relative energy among the computed polymorphs: 736 meV/atom
- Calculated volume: 19.82 Å³ per atom
- DFT total energy: -3.91 eV per atom
- Space-group type: P4/mmm

Cell lengths 4.394, 4.394, 4.107 Å; angles 90.00, 90.00, 90.00 degrees
Sites, in units of the cell vectors:
Sc: 0.000 0.000 0.000
Au: 0.500 0.500 0.000
Cl: 0.000 0.500 0.500
Cl: 0.500 0.000 0.500

The following is a DFT calculation (PBE-GGA) of an optimized crystal structure of ScAuCl2.

Calculated values
- ΔE_f (raw): -1.070 eV per atom
- Relative energy among the computed polymorphs: 253 meV/atom
- Calculated volume: 26.29 Å³ per atom
- DFT total energy: -4.40 eV per atom
- Space-group type: Imm2

Cell lengths 7.366, 7.366, 7.366 Å; angles 154.54, 142.13, 46.19 degrees
Sites, in units of the cell vectors:
Sc: 0.000 0.000 0.000
Au: 0.163 0.663 0.500
Cl: 0.511 0.511 0.000
Cl: 0.857 0.357 0.500

The following is a DFT calculation (PBE-GGA) of an optimized crystal structure of ScAuCl2.

Calculated values
- ΔE_f (raw): -1.174 eV per atom
- Relative energy among the computed polymorphs: 149 meV/atom
- Calculated volume: 24.40 Å³ per atom
- DFT total energy: -4.50 eV per atom
- Space-group type: R3m

Cell lengths 8.222, 8.222, 8.222 Å; angles 26.51, 26.51, 26.51 degrees
Sites, in units of the cell vectors:
Sc: 0.000 0.000 0.000
Au: 0.265 0.265 0.265
Cl: 0.529 0.529 0.529
Cl: 0.729 0.729 0.729

The following is a DFT calculation (PBE-GGA) of an optimized crystal structure of ScAuCl4.

Calculated values
- ΔE_f (raw): 0.193 eV per atom
- Calculated volume: 22.08 Å³ per atom
- DFT total energy: -2.64 eV per atom
- Space-group type: F-43m

Cell lengths 5.722, 5.722, 5.722 Å; angles 60.00, 60.00, 60.00 degrees
Sites, in units of the cell vectors:
Sc: 0.000 0.000 0.000
Au: 0.750 0.750 0.750
Cl: 0.375 0.375 0.375
Cl: 0.375 0.375 0.875
Cl: 0.375 0.875 0.375
Cl: 0.875 0.375 0.375

The following is a DFT calculation (PBE-GGA) of an optimized crystal structure of ScAuCl2.

Calculated values
- ΔE_f (raw): -0.709 eV per atom
- Relative energy among the computed polymorphs: 615 meV/atom
- Calculated volume: 20.00 Å³ per atom
- DFT total energy: -4.03 eV per atom
- Space-group type: I-4m2

Cell lengths 4.911, 4.911, 4.911 Å; angles 122.74, 122.74, 85.32 degrees
Sites, in units of the cell vectors:
Sc: 0.000 0.000 0.000
Au: 0.250 0.750 0.500
Cl: 0.500 0.500 0.000
Cl: 0.750 0.250 0.500

The following is a DFT calculation (PBE-GGA) of an optimized crystal structure of ScAu3Cl.

Calculated values
- ΔE_f (raw): 0.686 eV per atom
- Relative energy among the computed polymorphs: 199 meV/atom
- Calculated volume: 23.88 Å³ per atom
- DFT total energy: -2.92 eV per atom
- Space-group type: Pm-3m

Cell lengths 4.924, 4.924, 4.924 Å; angles 90.00, 90.00, 90.00 degrees
Sites, in units of the cell vectors:
Sc: 0.000 0.000 0.000
Au: 0.000 0.500 0.500
Au: 0.500 0.000 0.500
Au: 0.500 0.500 0.000
Cl: 0.500 0.500 0.500